Computed, not measured: a relaxed YIn2Ru crystal at the PBEsol level of DFT.

Unit cell a=4.451 b=4.451 c=8.119 alpha=90.00 beta=90.00 gamma=90.00
Space group I-4m2 (No. 119)
Unique sites:
Y (0.000, 0.000, 0.000) [2 per cell]
In (0.000, 0.000, 0.500) [2 per cell]
In (0.000, 0.500, 0.250) [2 per cell]
Ru (0.000, 0.500, 0.750) [2 per cell]

Calculated values
magnetization: 0.00 μB per cell
formation energy: -0.11 eV/atom
DOS at the Fermi energy: 6.24 states/eV/cell